Entry 1:
## Na2Bi5Au3 (GGA-PBE)

Data for a relaxed structure of Na2Bi5Au3.

Output
The calculation puts the calculated formation energy at -0.165 eV per atom. The energy above the most stable polymorph in this dataset comes out at 0 meV per atom.

Cell lengths 4.6904, 29.7851, 7.8602 Å; angles 90.00, 90.00, 90.00 degrees
Last column: nearest neighbours and their distance in Å.
Space group Cmc2_1 (No. 36)
Unique sites:
Na 0.0000 0.0215 0.0000 x4  5 Au 3.16-3.39, 2 Bi 3.51
Na 0.0000 0.3339 0.9047 x4  2 Au 3.22, 5 Bi 3.38-3.44
Bi 0.0000 0.0944 0.6324 x4  3 Au 2.95-3.25
Bi 0.0000 0.2056 0.1211 x4  4 Au 2.97-3.06
Bi 0.0000 0.2082 0.6697 x4  3 Au 2.95-3.05
Bi 0.0000 0.3834 0.4618 x4  4 Au 3.04-3.14
Bi 0.0000 0.4471 0.8244 x4  4 Au 2.86-3.08
Au 0.0000 0.1098 0.2237 x4  6 Bi 2.97-3.25, 3 Na 3.16-3.22
Au 0.0000 0.2795 0.3915 x4  7 Bi 2.95-3.14
Au 0.0000 0.4616 0.2126 x4  5 Bi 2.86-3.08

Entry 2:
## Zr3Tl4AgTe8 (GGA-PBE)

Data for a relaxed structure of Zr3Tl4AgTe8.

Output
Its formation energy (no corrections) is -8.819 eV per formula unit.

Cell lengths 8.4523, 8.4523, 24.5576 Å; angles 90.00, 90.00, 120.00 degrees
Last column: nearest neighbours and their distance in Å.
Space group R-3m (No. 166, hexagonal axes)
Unique sites:
Zr 0.0000 0.5000 0.0000 x9  6 Te 2.94-2.98
Tl 0.0000 0.0000 0.5000 x3  6 Te 3.40
Tl 0.0000 0.5000 0.5000 x9  6 Te 3.41-3.45
Ag 0.0000 0.0000 0.0000 x3  6 Te 3.00
Te 0.0000 0.0000 0.2638 x6  3 Zr 2.98
Te 0.0062 0.5031 0.2650 x18  2 Zr 2.94, 1 Ag 3.00

Entry 3:
## K4Ce3PmS8 (GGA-PBE)

Data for a relaxed structure of K4Ce3PmS8.

Output
Its formation energy (no corrections) is -28.916 eV per formula unit.

Cell lengths 8.4085, 8.4085, 22.1005 Å; angles 90.00, 90.00, 120.00 degrees
Last column: nearest neighbours and their distance in Å.
Space group R-3m (No. 166, hexagonal axes)
Unique sites:
K 0.0000 0.0000 0.0000 x3  6 S 3.26
K 0.0000 0.5000 0.0000 x9  6 S 3.25
Ce 0.0000 0.5000 0.5000 x9  6 S 2.86-2.87
Pm 0.0000 0.0000 0.5000 x3  6 S 2.86
S 0.0000 0.0000 0.2354 x6  3 Ce 2.86
S 0.0013 0.5006 0.2354 x18  1 Pm 2.86, 2 Ce 2.87

Entry 4:
## TbCo2SiGe2 (GGA-PBE)

Data for a relaxed structure of TbCo2SiGe2.

Output
Its formation energy (no corrections) is -1.637 eV per formula unit.

Cell lengths 4.2523, 4.2523, 5.4388 Å; angles 90.00, 90.00, 90.00 degrees
Last column: nearest neighbours and their distance in Å.
Space group P4/mmm (No. 123)
Unique sites:
Tb 0.0000 0.0000 0.0000 x1  2 Si 2.72
Co 0.0000 0.5000 0.5000 x2  2 Si 2.13
Si 0.0000 0.0000 0.5000 x1  4 Co 2.13
Ge 0.5000 0.5000 0.2382 x2  4 Co 2.56, 2 Ge 2.59-2.85

Entry 5:
## KAgBr4 (GGA-PBE)

Data for a relaxed structure of KAgBr4.

Output
Its formation energy (no corrections) is -3.002 eV per formula unit. The energy above the most stable polymorph in this dataset comes out at 83 meV per atom.

Cell lengths 9.7794, 10.2914, 4.3579 Å; angles 90.00, 90.00, 90.00 degrees
Last column: nearest neighbours and their distance in Å.
Space group Cmmm (No. 65)
Unique sites:
K 0.0000 0.0000 0.0000 x2  6 Br 3.22-3.35
Ag 0.0000 0.5000 0.5000 x2  6 Br 2.52-2.82
Br 0.0000 0.3254 0.0000 x4  2 Ag 2.82
Br 0.2421 0.0000 0.5000 x4  1 Ag 2.52

Entry 6:
## TbHoZrCd (GGA-PBE)

Data for a relaxed structure of TbHoZrCd.

Output
The calculation puts the calculated formation energy at 0.048 eV per atom.

Cell lengths 7.5116, 7.5116, 7.5116 Å; angles 90.00, 90.00, 90.00 degrees
Last column: nearest neighbours and their distance in Å.
Space group F-43m (No. 216)
Unique sites:
Tb 0.0000 0.0000 0.0000 x4  4 Zr 3.25, 4 Cd 3.25
Ho 0.0000 0.0000 0.5000 x4  4 Cd 3.25, 4 Zr 3.25
Zr 0.2500 0.2500 0.7500 x4  4 Tb 3.25, 4 Ho 3.25
Cd 0.2500 0.2500 0.2500 x4  4 Tb 3.25, 4 Ho 3.25

Entry 7:
## SmTm2Pt (GGA-PBE)

Data for a relaxed structure of SmTm2Pt.

Output
The calculation puts the calculated formation energy at -0.689 eV per atom. The energy above the most stable polymorph in this dataset comes out at 29 meV per atom.

Cell lengths 3.7788, 9.0699, 6.4892 Å; angles 90.00, 106.85, 90.00 degrees
Last column: nearest neighbours and their distance in Å.
Space group P2_1/m (No. 11)
Unique sites:
Sm 0.0598 0.2500 0.1206 x2  2 Pt 3.11-3.12
Tm 0.3609 0.0612 0.7215 x4  2 Pt 2.84
Pt 0.2402 0.7500 0.4812 x2  4 Tm 2.84, 2 Sm 3.11-3.12

Entry 8:
## Cr2AgOs (GGA-PBE)

Data for a relaxed structure of Cr2AgOs.

Output
The calculation puts the calculated formation energy at 0.564 eV per atom.

Cell lengths 3.8595, 3.8595, 7.6078 Å; angles 90.00, 90.00, 90.00 degrees
Last column: nearest neighbours and their distance in Å.
Space group I-4m2 (No. 119)
Unique sites:
Cr 0.0000 0.0000 0.0000 x2  4 Cr 2.71, 4 Os 2.71, 4 Ag 2.73
Cr 0.0000 0.5000 0.2500 x2  4 Cr 2.71, 4 Ag 2.71, 4 Os 2.73
Ag 0.0000 0.0000 0.5000 x2  8 Cr 2.71-2.73, 4 Os 2.71
Os 0.0000 0.5000 0.7500 x2  4 Ag 2.71, 8 Cr 2.71-2.73

Entry 9:
## BaLiCaMg (GGA-PBE)

Data for a relaxed structure of BaLiCaMg.

Output
The calculation puts the calculated formation energy at -0.013 eV per atom.

Cell lengths 8.3560, 8.3560, 8.3560 Å; angles 90.00, 90.00, 90.00 degrees
Last column: nearest neighbours and their distance in Å.
Space group F-43m (No. 216)
Unique sites:
Ba 0.0000 0.0000 0.0000 x4  4 Li 3.62, 4 Mg 3.62
Li 0.2500 0.2500 0.2500 x4  4 Ca 3.62, 4 Ba 3.62
Ca 0.0000 0.0000 0.5000 x4  4 Li 3.62, 4 Mg 3.62
Mg 0.2500 0.2500 0.7500 x4  4 Ba 3.62, 4 Ca 3.62

Entry 10:
## TaInPS2 (GGA-PBE)

Data for a relaxed structure of TaInPS2.

Output
Its formation energy (no corrections) is 8.048 eV per formula unit. The energy above the most stable polymorph in this dataset comes out at 1866 meV per atom.

Cell lengths 4.7082, 4.7082, 5.8316 Å; angles 90.00, 90.00, 90.00 degrees
Last column: nearest neighbours and their distance in Å.
Space group P4/mmm (No. 123)
Unique sites:
Ta 0.0000 0.0000 0.0000 x1  2 In 2.92
In 0.0000 0.0000 0.5000 x1  4 S 2.35
P 0.5000 0.5000 0.0000 x1  4 Ta 3.33
S 0.0000 0.5000 0.5000 x2  2 In 2.35

Entry 11:
## DyTh2Pa (GGA-PBE)

Data for a relaxed structure of DyTh2Pa.

Output
The calculation puts the calculated formation energy at 0.299 eV per atom. The energy above the most stable polymorph in this dataset comes out at 217 meV per atom.

Cell lengths 3.3596, 3.3596, 37.3514 Å; angles 90.00, 90.00, 120.00 degrees
Last column: nearest neighbours and their distance in Å.
Space group R-3m (No. 166, hexagonal axes)
Unique sites:
Dy 0.0000 0.0000 0.0000 x3  2 Th 3.27, 6 Dy 3.36
Th 0.0000 0.0000 0.0874 x6  1 Dy 3.27, 6 Th 3.36, 3 Pa 3.54
Pa 0.0000 0.0000 0.5000 x3  6 Pa 3.36, 6 Th 3.54

Entry 12:
## Nb2FeP2 (GGA-PBE)

Data for a relaxed structure of Nb2FeP2.

Output
The calculation puts the calculated formation energy at -0.591 eV per atom.

Cell lengths 5.8629, 5.8629, 3.9970 Å; angles 90.00, 90.00, 90.00 degrees
Last column: nearest neighbours and their distance in Å.
Space group P4/mbm (No. 127)
Unique sites:
Nb 0.1724 0.3276 0.0000 x4  6 P 2.54-2.71
Fe 0.0000 0.0000 0.5000 x2  4 P 2.27
P 0.1378 0.6378 0.5000 x4  2 Fe 2.27, 1 P 2.29, 2 Nb 2.54

Entry 13:
## Mg2CoBi2 (GGA-PBE)

Data for a relaxed structure of Mg2CoBi2.

Output
The calculation puts the calculated formation energy at 0.215 eV per atom.

Cell lengths 6.9678, 6.9678, 5.0705 Å; angles 90.00, 90.00, 90.00 degrees
Last column: nearest neighbours and their distance in Å.
Space group P4/mbm (No. 127)
Unique sites:
Mg 0.1653 0.3347 0.0000 x4  6 Bi 3.07-3.40, 1 Mg 3.26
Co 0.0000 0.0000 0.5000 x2  4 Bi 2.62
Bi 0.1598 0.6598 0.5000 x4  2 Co 2.62

Entry 14:
## ErBe2Pt3 (GGA-PBE)

Data for a relaxed structure of ErBe2Pt3.

Output
The calculation puts the calculated formation energy at -0.796 eV per atom.

Cell lengths 9.0600, 9.0600, 3.8742 Å; angles 90.00, 90.00, 120.00 degrees
Last column: nearest neighbours and their distance in Å.
Space group P6/mmm (No. 191)
Unique sites:
Er 0.0000 0.0000 0.0000 x1  6 Be 2.86
Er 0.3333 0.6667 0.5000 x2  6 Be 3.06, 12 Pt 3.22-3.25
Be 0.1823 0.3646 0.0000 x6  6 Pt 2.41-2.50
Pt 0.0000 0.2923 0.5000 x6  4 Be 2.41, 4 Pt 2.65-2.70
Pt 0.0000 0.5000 0.0000 x3  4 Be 2.50, 4 Pt 2.70

Entry 15:
## Th3Mg2In3Ir (GGA-PBE)

Data for a relaxed structure of Th3Mg2In3Ir.

Output
The calculation puts the calculated formation energy at -0.312 eV per atom.

Cell lengths 8.7301, 8.7301, 3.6556 Å; angles 90.00, 90.00, 120.00 degrees
Last column: nearest neighbours and their distance in Å.
Space group P-62m (No. 189)
Unique sites:
Th 0.0000 0.7448 0.0000 x3  2 Ir 2.88
Mg 0.3333 0.6667 0.0000 x2  6 In 3.23, 3 Th 3.30
In 0.0000 0.4016 0.5000 x3  4 Mg 3.23, 1 Ir 3.51, 6 Th 3.51-3.58
Ir 0.0000 0.0000 0.5000 x1  6 Th 2.88

Entry 16:
## Cr2Mo2Br (GGA-PBE)

Data for a relaxed structure of Cr2Mo2Br.

Output
Its formation energy (no corrections) is 4.522 eV per formula unit. The energy above the most stable polymorph in this dataset comes out at 140 meV per atom.

Cell lengths 3.8960, 3.8960, 12.9978 Å; angles 90.00, 90.00, 90.00 degrees
Last column: nearest neighbours and their distance in Å.
Space group I4/mmm (No. 139)
Unique sites:
Cr 0.0000 0.0000 0.1361 x4  4 Mo 2.45
Mo 0.0000 0.5000 0.2500 x4  4 Cr 2.45
Br 0.0000 0.0000 0.5000 x2  8 Cr 3.27

Entry 17:
## LaCeCo2 (GGA-PBE)

Data for a relaxed structure of LaCeCo2.

Output
The calculation puts the calculated formation energy at -0.169 eV per atom. The energy above the most stable polymorph in this dataset comes out at 26 meV per atom.

Cell lengths 4.2747, 4.2747, 15.8890 Å; angles 90.00, 90.00, 120.00 degrees
Last column: nearest neighbours and their distance in Å.
Space group R-3m (No. 166, hexagonal axes)
Unique sites:
La 0.0000 0.0000 0.0000 x3  8 Co 3.18-3.30
Ce 0.0000 0.0000 0.5000 x3  6 Co 2.55
Co 0.0000 0.0000 0.2075 x6  3 Ce 2.55, 3 Co 2.79

Entry 18:
## Na2YCo2 (GGA-PBE)

Data for a relaxed structure of Na2YCo2.

Output
The calculation puts the calculated formation energy at 0.590 eV per atom. The energy above the most stable polymorph in this dataset comes out at 199 meV per atom.

Cell lengths 6.6769, 6.6769, 5.0750 Å; angles 90.00, 90.00, 90.00 degrees
Last column: nearest neighbours and their distance in Å.
Space group P4/mbm (No. 127)
Unique sites:
Na 0.1635 0.3365 0.0000 x4  1 Na 3.09, 6 Co 3.16-3.28
Y 0.0000 0.0000 0.5000 x2  4 Co 2.68
Co 0.1157 0.6157 0.5000 x4  1 Co 2.19

Results for theoretical density: 10.17, 7.28, 3.60, 7.60, 3.53, 8.27, 10.66, 11.78, 2.38, 5.02, 11.70, 7.34, 7.09, 13.94, 8.82, 6.33, 7.86, 3.71 (in g/cm³, following the order of the records).
Results for density of states at the Fermi level: 3.903, 5.019, 18.485, 3.315, 9.669, 5.577, 4.412, 5.171, 4.386, 7.019, 7.929, 4.854, 1.854, 4.275, 5.253, 5.327, 3.166, 7.849 (in states/eV/f.u., following the order of the records).